DFT (PBE-GGA) results for a geometry-optimized AcSm2DySb4 structure.

a b c (Å): 7.8546 4.5397 7.8637
angles (deg): 90.00 109.41 90.00
Closest atoms and distances in Å follow each position.
Fractional coordinates of all 8 atoms:
1 Ac 0.0000 0.0000 0.0000  6 Sb 3.28-3.29
2 Sm 0.0000 0.5000 0.5000  6 Sb 3.23-3.24
3 Sm 0.5000 0.0000 0.5000  6 Sb 3.13
4 Dy 0.5000 0.5000 0.0000  6 Sb 3.18-3.19
5 Sb 0.2596 0.0000 0.7479  3 Sm 3.13-3.24, 2 Dy 3.19, 1 Ac 3.28
6 Sb 0.2640 0.5000 0.2601  3 Sm 3.13-3.23, 1 Dy 3.18, 2 Ac 3.29
7 Sb 0.7360 0.5000 0.7399  3 Sm 3.13-3.23, 1 Dy 3.18, 2 Ac 3.29
8 Sb 0.7404 0.0000 0.2521  3 Sm 3.13-3.24, 2 Dy 3.19, 1 Ac 3.28

Results
- formation energy (no corrections) (meV per atom) = -1144
- space group = P2/m